Dy6Ge2P3Se | PBE | relaxed

For the raw formation energy, the calculation gives -1.383 eV per atom.

Cell: 17.805 3.995 8.252 Å, 90.00 103.96 90.00°
Space group C2/m (No. 12)
Asymmetric unit:
Dy: 0.001 0.000 0.240 [4 per cell]
Dy: 0.164 0.500 0.092 [4 per cell]
Dy: 0.170 0.500 0.577 [4 per cell]
Ge: 0.167 0.000 0.833 [4 per cell]
P: 0.000 0.500 0.000 [2 per cell]
P: 0.164 0.000 0.335 [4 per cell]
Se: 0.000 0.500 0.500 [2 per cell]

RbCr3N | PBE | relaxed

The calculation puts the energy relative to the lowest polymorph listed for this composition at 0.00 eV per formula unit. For the raw formation energy, the calculation gives 1.131 eV per atom.

Cell: 4.467 4.467 4.467 Å, 90.00 90.00 90.00°
Space group Pm-3m (No. 221)
Asymmetric unit:
Rb: 0.000 0.000 0.000 [1 per cell]
Cr: 0.000 0.500 0.500 [3 per cell]
N: 0.500 0.500 0.500 [1 per cell]

SrNiCl2 | PBE | relaxed

The calculation puts the energy relative to the lowest polymorph listed for this composition at 1.04 eV per formula unit. For the raw formation energy, the calculation gives -0.968 eV per atom.

Cell: 4.135 4.135 5.775 Å, 90.00 90.00 90.00°
Space group P4mm (No. 99)
Asymmetric unit:
Sr: 0.000 0.000 0.000 [1 per cell]
Ni: 0.500 0.500 0.746 [1 per cell]
Cl: 0.000 0.000 0.514 [1 per cell]
Cl: 0.500 0.500 0.106 [1 per cell]

ErSb2Pd | PBE | relaxed

For the raw formation energy, the calculation gives -0.148 eV per atom.

Cell: 3.4760 3.4760 29.8096 Å, 90.00 90.00 120.00°
Space group R-3m (No. 166, hexagonal axes)
Asymmetric unit:
Er: 0.0000 0.0000 0.0000 [3 per cell]
Sb: 0.0000 0.0000 0.1024 [6 per cell]
Pd: 0.0000 0.0000 0.5000 [3 per cell]